# 1
# Nd6P2AuS3

A relaxed Nd6P2AuS3 crystal (PBE-GGA, the Alexandria database).

Cell: 4.127 8.344 9.270 Å, 102.86 102.86 90.00°
Positions (direct):
1 Nd 0.999 0.736 0.997
2 Nd 0.331 0.420 0.662
3 Nd 0.001 0.264 0.003
4 Nd 0.669 0.580 0.338
5 Nd 0.672 0.092 0.344
6 Nd 0.328 0.908 0.656
7 S 0.500 0.500 0.000
8 S 0.833 0.166 0.667
9 S 0.167 0.834 0.333
10 Au 0.500 0.000 0.000
11 P 0.166 0.334 0.333
12 P 0.834 0.666 0.667

Computed properties:
The electronic total energy is -75.064 eV for the cell shown. As for the space-group type: C2/m. For the uncorrected formation energy, the calculation gives -1664.8 meV per atom.

=====

# 2
# K4Ni5

A relaxed K4Ni5 crystal (PBE-GGA, the Alexandria database).

Cell: 8.646 8.646 5.891 Å, 90.00 90.00 120.00°
Site moments in Bohr magnetons follow the coordinates.
Positions (direct):
1 Ni 0.390 0.390 0.250  0.32
2 Ni 0.390 0.000 0.750  0.32
3 Ni 0.000 0.390 0.750  0.32
4 Ni 0.610 0.610 0.750  0.32
5 Ni 0.333 0.667 0.000  0.59
6 Ni 0.610 0.000 0.250  0.32
7 Ni 0.333 0.667 0.500  0.59
8 Ni 0.667 0.333 0.500  0.59
9 Ni 0.667 0.333 0.000  0.59
10 Ni 0.000 0.610 0.250  0.32
11 K 0.000 0.683 0.750  -0.01
12 K 0.000 0.000 0.500  -0.01
13 K 0.683 0.683 0.250  -0.01
14 K 0.317 0.317 0.750  -0.01
15 K 0.317 0.000 0.250  -0.01
16 K 0.000 0.000 0.000  -0.01
17 K 0.683 0.000 0.750  -0.01
18 K 0.000 0.317 0.250  -0.01

Computed properties:
The formation energy comes out at 1.166 eV per atom. The electronic total energy is -45.612 eV for the cell shown. As for the space-group type: P6_3/mcm.

=====

# 3
# Tb2Ni3Ge5

A relaxed Tb2Ni3Ge5 crystal (PBE-GGA, the Alexandria database).

Cell: 5.904 8.148 8.148 Å, 73.79 68.76 68.76°
Positions (direct):
1 Tb 0.365 0.869 0.402
2 Tb 0.635 0.131 0.598
3 Tb 0.135 0.598 0.131
4 Tb 0.865 0.402 0.869
5 Ge 0.598 0.742 0.061
6 Ge 0.902 0.939 0.258
7 Ge 0.250 0.500 0.500
8 Ge 0.098 0.061 0.742
9 Ge 0.750 0.500 0.500
10 Ge 0.020 0.230 0.230
11 Ge 0.402 0.258 0.939
12 Ge 0.520 0.230 0.230
13 Ge 0.980 0.770 0.770
14 Ge 0.480 0.770 0.770
15 Ni 0.137 0.254 0.471
16 Ni 0.250 0.000 0.000
17 Ni 0.637 0.471 0.254
18 Ni 0.750 0.000 0.000
19 Ni 0.363 0.529 0.746
20 Ni 0.863 0.746 0.529

Computed properties:
The formation energy comes out at -0.644 eV per atom. The calculation puts the relative energy among the computed polymorphs at 0 meV per atom. The electronic total energy is -112.270 eV for the cell shown. As for the space-group type: Ibam.